No. 1
A relaxed structure of DyTmH4. Source: the Open Quantum Materials Database, functional PBE. Values from VASP.

Geometry as Quantum ESPRESSO input:
```
&SYSTEM
  ibrav = 0, nat = 6, ntyp = 3
/
ATOMIC_SPECIES
H 1.01 H.upf
Tm 168.93 Tm.upf
Dy 162.50 Dy.upf
CELL_PARAMETERS angstrom
-3.0868 -0.0857 -1.8766
0.9703 -3.1637 -1.4515
-2.2702 -2.4611 3.8467
ATOMIC_POSITIONS angstrom
H -0.0953 -2.2111 0.2577
H -3.2332 -1.8748 1.9250
H -1.2046 -3.4138 2.1375
H -2.1238 -0.6721 0.0452
Tm -2.1934 -2.8553 0.2593
Dy 0.0000 0.0000 0.0000
```

Results
**Energy**: -26.7 eV per cell

***

No. 2
A relaxed structure of CsTmSe3. Source: the Open Quantum Materials Database, functional PBE. Values from VASP.

Geometry as Quantum ESPRESSO input:
```
&SYSTEM
  ibrav = 0, nat = 5, ntyp = 3
/
ATOMIC_SPECIES
Se 78.96 Se.upf
Tm 168.93 Tm.upf
Cs 132.91 Cs.upf
CELL_PARAMETERS angstrom
-4.9583 -2.1933 -1.0401
2.0278 -5.0428 0.9671
-1.3343 0.4866 5.3348
ATOMIC_POSITIONS angstrom
Se -1.4653 -3.6180 -0.0365
Se 0.3468 -2.2781 3.1509
Tm -2.1324 -3.3748 2.6309
Se -3.1463 -0.8534 2.1474
Cs 0.0000 0.0000 0.0000
```

Results
**Energy**: -21.2 eV per cell

***

No. 3
A relaxed structure of FeB2. Source: the Open Quantum Materials Database, functional PBE. Values from VASP.

Geometry as Quantum ESPRESSO input:
```
&SYSTEM
  ibrav = 0, nat = 6, ntyp = 2
/
ATOMIC_SPECIES
B 10.81 B.upf
Fe 55.84 Fe.upf
CELL_PARAMETERS angstrom
2.7160 -1.6005 2.2523
-0.4760 -3.6013 1.3473
2.1957 -2.8853 -1.3657
ATOMIC_POSITIONS angstrom
B 1.4143 -4.2542 0.2700
Fe 1.1089 -2.0218 0.5585
B 1.6744 -3.6118 2.0790
B 2.7723 -5.0544 1.3962
B 3.0103 -3.2538 0.7225
Fe 0.0000 0.0000 0.0000
```

Results
**Energy**: -42.2 eV per cell

***

No. 4
A relaxed structure of ZnGaCuOs. Source: the Open Quantum Materials Database, functional PBE. Values from VASP.

Geometry as Quantum ESPRESSO input:
```
&SYSTEM
  ibrav = 0, nat = 4, ntyp = 4
/
ATOMIC_SPECIES
Ga 69.72 Ga.upf
Os 190.23 Os.upf
Zn 65.41 Zn.upf
Cu 63.55 Cu.upf
CELL_PARAMETERS angstrom
0.0000 3.0198 3.0198
3.0198 0.0000 3.0198
3.0198 3.0198 0.0000
ATOMIC_POSITIONS angstrom
Ga 0.0000 0.0000 0.0000
Os 3.0198 3.0198 3.0198
Zn 1.5099 1.5099 1.5099
Cu 4.5298 4.5298 4.5298
```

Results
**Energy**: -17.9 eV per cell

***

No. 5
A relaxed structure of ErTmInCo2. Source: the Open Quantum Materials Database, functional PBE. Values from VASP.

Geometry as Quantum ESPRESSO input:
```
&SYSTEM
  ibrav = 0, nat = 5, ntyp = 4
/
ATOMIC_SPECIES
Co 58.93 Co.upf
In 114.82 In.upf
Er 167.26 Er.upf
Tm 168.93 Tm.upf
CELL_PARAMETERS angstrom
-1.2826 3.0716 -1.9399
-5.7685 -3.6334 -1.9390
-6.6830 -1.9472 1.3356
ATOMIC_POSITIONS angstrom
Co -10.5277 -2.8951 -1.4491
In -0.6455 1.5339 -0.9702
Co -3.1998 0.3891 -1.0940
Er -4.4853 -2.0102 -0.2174
Tm -7.9687 -3.5715 -0.3862
```

Results
**Energy**: -27.8 eV per cell

***

No. 6
A relaxed structure of ZnCuNiW. Source: the Open Quantum Materials Database, functional PBE. Values from VASP.

Geometry as Quantum ESPRESSO input:
```
&SYSTEM
  ibrav = 0, nat = 4, ntyp = 4
/
ATOMIC_SPECIES
W 183.84 W.upf
Zn 65.41 Zn.upf
Ni 58.69 Ni.upf
Cu 63.55 Cu.upf
CELL_PARAMETERS angstrom
1.1286 -3.9562 0.8182
-2.8728 -2.7809 1.2684
-1.1978 -3.0958 -2.5644
ATOMIC_POSITIONS angstrom
W -1.4710 -4.9164 -0.2389
Zn 0.0000 0.0000 0.0000
Ni -0.7355 -2.4582 -0.1194
Cu -2.2065 -7.3747 -0.3583
```

Results
**Energy relative to the elements**: 0.2139 eV per atom

***

No. 7
A relaxed structure of HoSiHg. Source: the Open Quantum Materials Database, functional PBE. Values from VASP.

Geometry as Quantum ESPRESSO input:
```
&SYSTEM
  ibrav = 0, nat = 3, ntyp = 3
/
ATOMIC_SPECIES
Si 28.09 Si.upf
Hg 200.59 Hg.upf
Ho 164.93 Ho.upf
CELL_PARAMETERS angstrom
0.0000 3.2926 3.2926
3.2926 0.0000 3.2926
3.2926 3.2926 0.0000
ATOMIC_POSITIONS angstrom
Si 0.0000 0.0000 0.0000
Hg 1.6463 1.6463 1.6463
Ho 4.9389 4.9389 4.9389
```

Results
**Energy**: -11.0 eV per cell

***

No. 8
A relaxed structure of HoF3. Source: the Open Quantum Materials Database, functional PBE. Values from VASP.

Geometry as Quantum ESPRESSO input:
```
&SYSTEM
  ibrav = 0, nat = 8, ntyp = 2
/
ATOMIC_SPECIES
Ho 164.93 Ho.upf
F 19.00 F.upf
CELL_PARAMETERS angstrom
-3.5333 -3.0246 3.4102
1.1482 -4.8002 2.9837
0.2633 -0.6801 5.7211
ATOMIC_POSITIONS angstrom
Ho 0.0000 0.0000 0.0000
F 0.3420 -5.6422 6.8656
F 0.4828 -2.8006 5.8089
F -2.4638 -2.8626 5.2493
F -0.6713 -4.9678 4.0854
F -1.4505 -3.5370 8.0295
F -2.6046 -5.7042 6.3060
Ho -1.0609 -4.2524 6.0575
```

Results
**Energy**: -52.3 eV per cell

***

No. 9
A relaxed structure of Sn2Pt. Source: the Open Quantum Materials Database, functional PBE. Values from VASP.

Geometry as Quantum ESPRESSO input:
```
&SYSTEM
  ibrav = 0, nat = 12, ntyp = 2
/
ATOMIC_SPECIES
Pt 195.08 Pt.upf
Sn 118.71 Sn.upf
CELL_PARAMETERS angstrom
7.4689 0.0000 0.0000
0.0000 4.1853 0.0000
0.0000 0.0000 8.5065
ATOMIC_POSITIONS angstrom
Pt 5.5745 3.1390 5.1707
Pt 5.6288 1.0463 0.9174
Sn 0.1741 1.0463 5.5896
Sn 2.7306 3.1390 4.9516
Pt 1.8400 3.1390 7.5892
Sn 6.4650 3.1390 7.8083
Sn 7.2948 3.1390 2.9169
Sn 4.7383 1.0463 3.5550
Pt 1.8944 1.0463 3.3359
Sn 3.9085 1.0463 7.1702
Sn 3.5604 3.1390 1.3364
Sn 1.0039 1.0463 0.6983
```

Results
**Energy**: -60.3 eV per cell

***

No. 10
A relaxed structure of Zr2ZnBi2. Source: the Open Quantum Materials Database, functional PBE. Values from VASP.

Geometry as Quantum ESPRESSO input:
```
&SYSTEM
  ibrav = 0, nat = 5, ntyp = 3
/
ATOMIC_SPECIES
Bi 208.98 Bi.upf
Zr 91.22 Zr.upf
Zn 65.41 Zn.upf
CELL_PARAMETERS angstrom
4.7437 -0.4527 5.4739
0.5758 5.0021 5.2267
-4.9862 -3.9673 -3.4742
ATOMIC_POSITIONS angstrom
Bi 2.0225 1.7297 4.0684
Bi 3.2970 2.8197 6.6321
Zr -0.8753 1.6548 3.5514
Zr 1.2086 -1.0726 3.6750
Zn 0.0000 0.0000 0.0000
```

Results
**Energy**: -25.5 eV per cell

***

No. 11
A relaxed structure of CsLuAlTe3. Source: the Open Quantum Materials Database, functional PBE. Values from VASP.

Geometry as Quantum ESPRESSO input:
```
&SYSTEM
  ibrav = 0, nat = 12, ntyp = 4
/
ATOMIC_SPECIES
Al 26.98 Al.upf
Lu 174.97 Lu.upf
Te 127.60 Te.upf
Cs 132.91 Cs.upf
CELL_PARAMETERS angstrom
1.8579 5.9932 5.9428
-5.2909 -2.6186 -6.3115
-6.3634 -5.6351 7.6724
ATOMIC_POSITIONS angstrom
Al -3.1863 0.4242 1.9411
Lu -3.1817 -2.8176 3.8362
Te -3.7030 0.1890 4.5985
Cs -4.7208 -0.4090 8.6010
Te -6.0934 -2.4496 2.7052
Al -6.6100 -2.6849 5.3625
Lu 0.0000 0.0000 0.0000
Cs -5.0756 -1.8516 -1.2974
Te -0.1695 4.0584 7.1124
Te -9.6269 -6.3190 0.1912
Te -8.5202 -4.5987 5.6312
Te -1.2762 2.3381 1.6724
```

Results
**Energy**: -48.1 eV per cell

***

No. 12
A relaxed structure of CsTcAuSe2S. Source: the Open Quantum Materials Database, functional PBE. Values from VASP.

Geometry as Quantum ESPRESSO input:
```
&SYSTEM
  ibrav = 0, nat = 12, ntyp = 5
/
ATOMIC_SPECIES
Se 78.96 Se.upf
Au 196.97 Au.upf
Tc 98.00 Tc.upf
S 32.06 S.upf
Cs 132.91 Cs.upf
CELL_PARAMETERS angstrom
-7.7196 -2.9722 -1.3687
7.0510 0.7621 4.4724
-3.9009 7.9211 4.8003
ATOMIC_POSITIONS angstrom
Se -3.9617 2.5994 3.4084
Se -5.7651 6.2613 5.6276
Se -0.6079 3.1115 4.4956
Au -3.9557 4.6598 4.8770
Au -0.6138 1.0511 3.0271
Tc 0.0000 0.0000 0.0000
S -9.8690 3.1649 2.5385
Se 1.1955 -0.5504 2.2764
S 5.2994 2.5461 5.3655
Tc -1.9505 3.9605 2.4002
Cs 0.4795 5.7812 6.6309
Cs -5.0491 -0.0702 1.2731
```

Results
**Energy**: -54.4 eV per cell

***

No. 13
A relaxed structure of NaZrAg. Source: the Open Quantum Materials Database, functional PBE. Values from VASP.

Geometry as Quantum ESPRESSO input:
```
&SYSTEM
  ibrav = 0, nat = 3, ntyp = 3
/
ATOMIC_SPECIES
Na 22.99 Na.upf
Ag 107.87 Ag.upf
Zr 91.22 Zr.upf
CELL_PARAMETERS angstrom
0.0000 3.2745 3.2745
3.2745 0.0000 3.2745
3.2745 3.2745 0.0000
ATOMIC_POSITIONS angstrom
Na 0.0000 0.0000 0.0000
Ag 1.6372 1.6372 1.6372
Zr 4.9117 4.9117 4.9117
```

Results
**Energy**: -9.6 eV per cell

***

No. 14
A relaxed structure of Gd3Mg3ZnGa2. Source: the Open Quantum Materials Database, functional PBE. Values from VASP.

Geometry as Quantum ESPRESSO input:
```
&SYSTEM
  ibrav = 0, nat = 9, ntyp = 4
/
ATOMIC_SPECIES
Mg 24.30 Mg.upf
Zn 65.41 Zn.upf
Ga 69.72 Ga.upf
Gd 157.25 Gd.upf
CELL_PARAMETERS angstrom
7.3520 0.0000 0.0000
-3.6760 6.3670 0.0000
0.0000 0.0000 4.4192
ATOMIC_POSITIONS angstrom
Mg 5.5672 0.0000 2.2096
Zn 0.0000 0.0000 0.0000
Ga 3.6760 2.1223 2.2096
Gd -1.5494 2.6836 0.0000
Ga 0.0000 4.2447 2.2096
Mg -2.7836 4.8213 2.2096
Gd 2.1266 3.6834 0.0000
Gd 3.0987 0.0000 0.0000
Mg 0.8924 1.5457 2.2096
```

Results
**Energy**: -30.0 eV per cell

***

No. 15
A relaxed structure of LaInHgSe3. Source: the Open Quantum Materials Database, functional PBE. Values from VASP.

Geometry as Quantum ESPRESSO input:
```
&SYSTEM
  ibrav = 0, nat = 12, ntyp = 4
/
ATOMIC_SPECIES
La 138.91 La.upf
In 114.82 In.upf
Se 78.96 Se.upf
Hg 200.59 Hg.upf
CELL_PARAMETERS angstrom
4.3828 0.0000 0.0000
2.1914 7.1386 0.0000
0.0000 0.0000 11.4199
ATOMIC_POSITIONS angstrom
La 0.0000 0.0000 0.0000
In 4.3828 3.5865 8.5649
La 0.0000 0.0000 5.7099
Se 4.3828 1.1648 2.8550
Se 2.1914 5.9738 8.5649
Se 4.3828 5.1375 0.6319
Hg 2.1914 0.5662 8.5649
Se 4.3828 5.1375 5.0780
In 2.1914 3.5521 2.8550
Se 2.1914 2.0010 10.7879
Se 2.1914 2.0010 6.3418
Hg 4.3828 6.5724 2.8550
```

Results
**Energy**: -48.2 eV per cell

***

No. 16
A relaxed structure of Li2InGeAu2. Source: the Open Quantum Materials Database, functional PBE. Values from VASP.

Geometry as Quantum ESPRESSO input:
```
&SYSTEM
  ibrav = 0, nat = 6, ntyp = 4
/
ATOMIC_SPECIES
Au 196.97 Au.upf
In 114.82 In.upf
Li 6.94 Li.upf
Ge 72.64 Ge.upf
CELL_PARAMETERS angstrom
-1.8075 -0.5798 4.2332
-1.2724 -2.8046 -3.4697
4.3817 -3.6791 1.3670
ATOMIC_POSITIONS angstrom
Au 0.0000 0.0000 0.0000
In -1.6292 -1.3214 1.6656
Au 0.5617 -3.1610 2.3491
Li 1.7880 -4.7826 0.1085
Li -0.3080 -3.0226 -0.5455
Ge 2.1909 -1.8396 0.6835
```

Results
**Energy**: -20.1 eV per cell

***

No. 17
A relaxed structure of RbBi5Pt3. Source: the Open Quantum Materials Database, functional PBE. Values from VASP.

Geometry as Quantum ESPRESSO input:
```
&SYSTEM
  ibrav = 0, nat = 9, ntyp = 3
/
ATOMIC_SPECIES
Rb 85.47 Rb.upf
Bi 208.98 Bi.upf
Pt 195.08 Pt.upf
CELL_PARAMETERS angstrom
5.9073 0.0000 0.0000
-2.9537 5.1159 0.0000
0.0000 0.0000 8.7190
ATOMIC_POSITIONS angstrom
Rb 0.0000 0.0000 0.0000
Bi 0.0000 3.4106 6.6876
Pt -1.4768 2.5579 4.3595
Bi 0.0000 3.4106 2.0314
Bi 2.9537 1.7053 2.0314
Bi 2.9537 1.7053 6.6876
Pt 2.9537 0.0000 4.3595
Bi 0.0000 0.0000 4.3595
Pt 1.4768 2.5579 4.3595
```

Results
**Energy**: -41.0 eV per cell

***

No. 18
A relaxed structure of Ta6Al7. Source: the Open Quantum Materials Database, functional PBE. Values from VASP.

Geometry as Quantum ESPRESSO input:
```
&SYSTEM
  ibrav = 0, nat = 13, ntyp = 2
/
ATOMIC_SPECIES
Ta 180.95 Ta.upf
Al 26.98 Al.upf
CELL_PARAMETERS angstrom
2.7480 1.5866 9.1644
-2.7480 1.5866 9.1644
0.0000 -3.1731 9.1644
ATOMIC_POSITIONS angstrom
Ta -1.3652 -0.7882 20.5153
Al 0.0000 0.0000 17.8963
Al 0.0000 0.0000 15.2017
Ta 0.0000 -1.5764 6.9778
Ta 0.0000 1.5764 20.5153
Al 0.0000 0.0000 9.5968
Al 0.0000 0.0000 4.5818
Ta -1.3652 0.7882 6.9778
Al 0.0000 0.0000 0.0000
Ta 1.3652 0.7882 6.9778
Al 0.0000 0.0000 12.2914
Al 0.0000 0.0000 22.9113
Ta 1.3652 -0.7882 20.5153
```

Results
**Energy**: -96.2 eV per cell

***

No. 19
A relaxed structure of LiNpPd. Source: the Open Quantum Materials Database, functional PBE. Values from VASP.

Geometry as Quantum ESPRESSO input:
```
&SYSTEM
  ibrav = 0, nat = 3, ntyp = 3
/
ATOMIC_SPECIES
Pd 106.42 Pd.upf
Np 237.00 Np.upf
Li 6.94 Li.upf
CELL_PARAMETERS angstrom
0.0000 3.1741 3.1741
3.1741 0.0000 3.1741
3.1741 3.1741 0.0000
ATOMIC_POSITIONS angstrom
Pd 0.0000 0.0000 0.0000
Np 4.7612 4.7612 4.7612
Li 1.5871 1.5871 1.5871
```

Results
**Energy**: -19.0 eV per cell

***

No. 20
A relaxed structure of Y3Cu4Si2Ge2. Source: the Open Quantum Materials Database, functional PBE. Values from VASP.

Geometry as Quantum ESPRESSO input:
```
&SYSTEM
  ibrav = 0, nat = 11, ntyp = 4
/
ATOMIC_SPECIES
Y 88.91 Y.upf
Cu 63.55 Cu.upf
Si 28.09 Si.upf
Ge 72.64 Ge.upf
CELL_PARAMETERS angstrom
-2.0932 3.3009 6.8909
2.0932 -3.3009 6.8909
2.0932 3.3009 -6.8909
ATOMIC_POSITIONS angstrom
Y 0.0000 0.0000 6.8909
Cu 0.0000 4.5492 2.2421
Si 0.0000 1.2074 0.0000
Cu 0.0000 2.0526 2.2421
Cu 2.0932 -1.2483 4.6488
Si 0.0000 5.3944 0.0000
Y 0.0000 3.3009 5.1016
Cu 2.0932 1.2483 4.6488
Ge 0.0000 0.0000 3.9027
Y 2.0932 0.0000 1.7893
Ge 0.0000 0.0000 9.8791
```

Results
**Energy**: -61.4 eV per cell